Entry i
Computed, not measured: an optimized crystal structure of CsSnHg4 at the PBE-GGA level of DFT.

Cell lengths 6.1006, 8.0899, 9.2724 Å; angles 90.00, 109.21, 90.00 degrees
Positions (direct):
1 Hg 0.2294 0.4474 0.4588
2 Hg 0.6173 0.7500 0.2347
3 Hg 0.7706 0.5526 0.5412
4 Hg 0.3827 0.2500 0.7653
5 Sn 0.1200 0.7500 0.2401
6 Sn 0.8800 0.2500 0.7599
7 Cs 0.3979 0.7500 0.7957
8 Hg 0.0000 0.5000 0.0000
9 Hg 0.7706 0.9474 0.5412
10 Hg 0.2294 0.0526 0.4588
11 Hg 0.0000 0.0000 0.0000
12 Cs 0.6021 0.2500 0.2043

Results
V: 432 Å³ per cell
space-group type: Cmcm (63)

Entry ii
Computed, not measured: an optimized crystal structure of CsSnHg4 at the PBE-GGA level of DFT.

Cell lengths 6.4033, 6.4033, 6.4033 Å; angles 60.00, 60.00, 60.00 degrees
Positions (direct):
1 Hg 0.6247 0.6247 0.1260
2 Hg 0.6247 0.6247 0.6247
3 Cs 0.0000 0.0000 0.0000
4 Sn 0.2500 0.2500 0.2500
5 Hg 0.1260 0.6247 0.6247
6 Hg 0.6247 0.1260 0.6247

Results
V: 186 Å³ per cell
space-group type: F-43m (216)

Which of them is least stable? Easy: entry ii.

Entry i
Computed, not measured: an optimized crystal structure of CsZnSnHg2 at the PBE-GGA level of DFT.

Cell lengths 6.0616, 6.0616, 5.2715 Å; angles 90.00, 90.00, 90.00 degrees
Positions (direct):
1 Cs 0.5000 0.5000 0.5000
2 Zn 0.0000 0.0000 0.5000
3 Hg 0.0000 0.5000 0.0000
4 Sn 0.0000 0.0000 0.0000
5 Hg 0.5000 0.0000 0.0000

Results
V: 194 Å³ per cell
space-group type: P4/mmm (123)

Entry ii
Computed, not measured: an optimized crystal structure of CsZnSnHg2 at the PBE-GGA level of DFT.

Cell lengths 5.7078, 5.7078, 5.2386 Å; angles 90.00, 90.00, 90.00 degrees
Positions (direct):
1 Zn 0.0000 0.0000 0.0000
2 Hg 0.5000 0.0000 0.0000
3 Hg 0.0000 0.5000 0.0000
4 Sn 0.0000 0.0000 0.5000
5 Cs 0.5000 0.5000 0.5000

Results
V: 171 Å³ per cell
space-group type: P4/mmm (123)

Which of them is least stable? Easy: entry ii.

Entry i
Computed, not measured: an optimized crystal structure of Cs2SrHg at the PBE-GGA level of DFT.

Cell lengths 7.2943, 7.2943, 7.2943 Å; angles 60.00, 60.00, 60.00 degrees
Positions (direct):
1 Hg 0.5000 0.5000 0.5000
2 Cs 0.7500 0.7500 0.7500
3 Sr 0.0000 0.0000 0.0000
4 Cs 0.2500 0.2500 0.2500

Results
V: 274 Å³ per cell
space-group type: Fm-3m (225)

Entry ii
Computed, not measured: an optimized crystal structure of Cs2SrHg at the PBE-GGA level of DFT.

Cell lengths 9.9092, 9.9092, 9.9092 Å; angles 96.55, 96.55, 140.51 degrees
Positions (direct):
1 Cs 0.2531 0.3750 0.3781
2 Hg 0.0000 0.0000 0.0000
3 Cs 0.9969 0.8750 0.6219
4 Cs 0.6250 0.0031 0.8781
5 Hg 0.2500 0.7500 0.5000
6 Sr 0.5000 0.5000 0.0000
7 Cs 0.1250 0.7469 0.1219
8 Sr 0.7500 0.2500 0.5000

Results
V: 582 Å³ per cell
space-group type: I-42d (122)

Which of them is least stable? Easy: entry i.

Entry i
Computed, not measured: an optimized crystal structure of CsSrHg2 at the PBE-GGA level of DFT.

Cell lengths 4.3134, 4.3134, 8.6667 Å; angles 90.00, 90.00, 90.00 degrees
Positions (direct):
1 Hg 0.0000 0.0000 0.8118
2 Cs 0.5000 0.5000 0.5000
3 Sr 0.5000 0.5000 0.0000
4 Hg 0.0000 0.0000 0.1882

Results
V: 161 Å³ per cell
space-group type: P4/mmm (123)

Entry ii
Computed, not measured: an optimized crystal structure of CsSrHg2 at the PBE-GGA level of DFT.

Cell lengths 4.0845, 6.1077, 6.1077 Å; angles 90.00, 90.00, 90.00 degrees
Positions (direct):
1 Hg 0.0000 0.5000 0.0000
2 Hg 0.0000 0.0000 0.5000
3 Cs 0.5000 0.0000 0.0000
4 Sr 0.5000 0.5000 0.5000

Results
V: 152 Å³ per cell
space-group type: P4/mmm (123)

Entry iii
Computed, not measured: an optimized crystal structure of CsSrHg2 at the PBE-GGA level of DFT.

Cell lengths 4.6004, 4.6004, 10.0259 Å; angles 76.74, 76.74, 60.00 degrees
Positions (direct):
1 Hg 0.2615 0.2615 0.2154
2 Sr 0.6670 0.6670 0.9989
3 Cs 0.4995 0.4995 0.5015
4 Hg 0.0719 0.0719 0.7842

Results
V: 177 Å³ per cell
space-group type: R3m (160)

Which of them is least stable? Easy: entry iii.

Entry i
Computed, not measured: an optimized crystal structure of CsSr3Hg at the PBE-GGA level of DFT.

Cell lengths 6.3249, 6.3249, 6.3249 Å; angles 90.00, 90.00, 90.00 degrees
Positions (direct):
1 Sr 0.0000 0.0000 0.5000
2 Cs 0.0000 0.0000 0.0000
3 Sr 0.5000 0.0000 0.0000
4 Sr 0.0000 0.5000 0.0000
5 Hg 0.5000 0.5000 0.5000

Results
V: 253 Å³ per cell
space-group type: Pm-3m (221)

Entry ii
Computed, not measured: an optimized crystal structure of CsSr3Hg at the PBE-GGA level of DFT.

Cell lengths 6.5460, 6.5460, 6.5460 Å; angles 90.00, 90.00, 90.00 degrees
Positions (direct):
1 Hg 0.0000 0.0000 0.0000
2 Sr 0.0000 0.5000 0.0000
3 Sr 0.0000 0.0000 0.5000
4 Sr 0.5000 0.0000 0.0000
5 Cs 0.5000 0.5000 0.5000

Results
V: 280 Å³ per cell
space-group type: Pm-3m (221)

Which of them is least stable? Easy: entry i.

Entry i
Computed, not measured: an optimized crystal structure of CsTaHg at the PBE-GGA level of DFT.

Cell lengths 8.0956, 5.1185, 9.5980 Å; angles 90.00, 90.00, 90.00 degrees
Positions (direct):
1 Hg 0.2463 0.2500 0.2389
2 Ta 0.4932 0.7500 0.9696
3 Cs 0.0139 0.2500 0.8653
4 Ta 0.9932 0.7500 0.5304
5 Hg 0.7537 0.7500 0.7611
6 Cs 0.5139 0.2500 0.6347
7 Ta 0.5068 0.2500 0.0304
8 Hg 0.2537 0.7500 0.7389
9 Ta 0.0068 0.2500 0.4696
10 Cs 0.4861 0.7500 0.3653
11 Hg 0.7463 0.2500 0.2611
12 Cs 0.9861 0.7500 0.1347

Results
V: 398 Å³ per cell
space-group type: Pnma (62)

Entry ii
Computed, not measured: an optimized crystal structure of CsTaHg at the PBE-GGA level of DFT.

Cell lengths 12.3396, 3.4072, 10.5083 Å; angles 90.00, 90.00, 90.00 degrees
Positions (direct):
1 Ta 0.5420 0.7500 0.5765
2 Hg 0.4253 0.2500 0.7505
3 Hg 0.0747 0.7500 0.2505
4 Hg 0.5747 0.7500 0.2495
5 Ta 0.4580 0.2500 0.4235
6 Cs 0.1825 0.7500 0.5859
7 Cs 0.3175 0.2500 0.0859
8 Cs 0.6825 0.7500 0.9141
9 Hg 0.9253 0.2500 0.7495
10 Ta 0.9580 0.2500 0.0765
11 Ta 0.0420 0.7500 0.9235
12 Cs 0.8175 0.2500 0.4141

Results
V: 442 Å³ per cell
space-group type: Pnma (62)

Which of them is least stable? Easy: entry i.

Entry i
Computed, not measured: an optimized crystal structure of CsTaHg at the PBE-GGA level of DFT.

Cell lengths 14.0524, 5.4267, 5.2875 Å; angles 90.00, 90.00, 90.00 degrees
Positions (direct):
1 Hg 0.0000 0.5000 0.0000
2 Cs 0.7501 0.2500 0.7515
3 Ta 0.0000 0.7500 0.5015
4 Cs 0.2499 0.7500 0.2485
5 Cs 0.7499 0.7500 0.2515
6 Hg 0.5000 0.5000 0.5000
7 Hg 0.5000 0.0000 0.5000
8 Ta 0.5000 0.7500 0.9985
9 Ta 0.0000 0.2500 0.4985
10 Cs 0.2501 0.2500 0.7485
11 Hg 0.0000 0.0000 0.0000
12 Ta 0.5000 0.2500 0.0015

Results
V: 403 Å³ per cell
space-group type: Pnma (62)

Entry ii
Computed, not measured: an optimized crystal structure of CsTaHg at the PBE-GGA level of DFT.

Cell lengths 4.6391, 5.0650, 12.7434 Å; angles 113.46, 100.48, 90.00 degrees
Positions (direct):
1 Hg 0.9153 0.0286 0.4226
2 Ta 0.3652 0.6741 0.3222
3 Cs 0.5199 0.7194 0.6265
4 Cs 0.2036 0.5990 0.0071
5 Hg 0.8095 0.3165 0.2109
6 Ta 0.3596 0.1631 0.3113

Results
V: 269 Å³ per cell
space-group type: P1 (1)

Which of them is least stable? Easy: entry i.

Entry i
Computed, not measured: an optimized crystal structure of CsTa3Hg at the PBE-GGA level of DFT.

Cell lengths 5.0246, 5.0246, 5.0246 Å; angles 90.00, 90.00, 90.00 degrees
Positions (direct):
1 Ta 0.5000 0.0000 0.0000
2 Ta 0.0000 0.0000 0.5000
3 Cs 0.0000 0.0000 0.0000
4 Ta 0.0000 0.5000 0.0000
5 Hg 0.5000 0.5000 0.5000

Results
V: 127 Å³ per cell
space-group type: Pm-3m (221)

Entry ii
Computed, not measured: an optimized crystal structure of CsTa3Hg at the PBE-GGA level of DFT.

Cell lengths 5.2827, 5.2827, 5.2827 Å; angles 90.00, 90.00, 90.00 degrees
Positions (direct):
1 Hg 0.0000 0.0000 0.0000
2 Cs 0.5000 0.5000 0.5000
3 Ta 0.0000 0.0000 0.5000
4 Ta 0.5000 0.0000 0.0000
5 Ta 0.0000 0.5000 0.0000

Results
V: 147 Å³ per cell
space-group type: Pm-3m (221)

Which of them is least stable? Easy: entry i.